A plane-wave DFT calculation with PBE-GGA was carried out for a geometry-optimized In3ReRh structure.

The structure belongs to space group Pm-3m (No. 221); the cell edges are 5.062, 5.062 and 5.062 Å and the angles 90.00°, 90.00° and 90.00°. The inequivalent atoms are In at (0.000, 0.000, 0.500), Re at (0.500, 0.500, 0.500) and Rh at (0.000, 0.000, 0.000).

Its polymorph energy (0 for the lowest one) is 0.00 eV per formula unit.